# PBE Ti4Mn2Se9, optimized geometry
# E_form (uncorrected) = -893.9 meV/atom
# N(E_F) = 15.2 states/eV/cell
data_Ti4Mn2Se9
_chemical_formula_sum 'Ti8 Mn4 Se18'
_space_group_name_H-M_alt 'P 1'
_space_group_IT_number 1
_space_group_name_Hall 'P 1'
_cell_length_a 6.401
_cell_length_b 6.401
_cell_length_c 17.742
_cell_angle_alpha 90.00
_cell_angle_beta 90.00
_cell_angle_gamma 120.00
loop_
_atom_site_label
_atom_site_fract_x
_atom_site_fract_y
_atom_site_fract_z
Ti1 0.333 0.667 0.002
Ti2 0.333 0.667 0.171
Ti3 0.333 0.667 0.502
Ti4 0.333 0.667 0.671
Ti5 0.667 0.333 0.329
Ti6 0.667 0.333 0.498
Ti7 0.667 0.333 0.829
Ti8 0.667 0.333 0.998
Mn1 0.000 0.000 0.162
Mn2 0.000 0.000 0.338
Mn3 0.000 0.000 0.662
Mn4 0.000 0.000 0.838
Se1 0.000 0.332 0.250
Se2 0.000 0.668 0.750
Se3 0.001 0.344 0.585
Se4 0.001 0.657 0.085
Se5 0.332 0.000 0.250
Se6 0.332 0.332 0.750
Se7 0.343 0.344 0.085
Se8 0.343 0.999 0.585
Se9 0.344 0.001 0.915
Se10 0.344 0.343 0.415
Se11 0.656 0.657 0.585
Se12 0.656 0.999 0.085
Se13 0.657 0.001 0.415
Se14 0.657 0.656 0.915
Se15 0.668 0.000 0.750
Se16 0.668 0.668 0.250
Se17 0.999 0.343 0.915
Se18 0.999 0.656 0.415